[1]
DFT (PBE-GGA) results for a relaxed structure of AlGa3Cu.

Lattice parameters (Å, degrees): 4.923 4.923 4.923 90.00 90.00 90.00
Positions (direct):
Cu 0.500 0.500 0.500
Ga 0.000 0.500 0.000
Ga 0.000 0.000 0.500
Ga 0.500 0.000 0.000
Al 0.000 0.000 0.000

Total DFT energy (no corrections) ... -13.84 eV per cell
Calculated volume ... 23.87 Å³/atom



[2]
DFT (PBE-GGA) results for a relaxed structure of Al4GaCu.

Lattice parameters (Å, degrees): 2.969 4.923 12.981 90.24 90.00 90.00
Positions (direct):
Al 0.500 0.164 0.337
Al 0.000 0.336 0.163
Al 0.500 0.836 0.663
Al 0.000 0.664 0.837
Al 0.000 0.675 0.335
Al 0.500 0.825 0.165
Al 0.000 0.325 0.665
Al 0.500 0.175 0.835
Ga 0.500 0.500 0.500
Ga 0.000 0.000 0.000
Cu 0.000 0.000 0.500
Cu 0.500 0.500 0.000

Total DFT energy (no corrections) ... -44.39 eV per cell
Calculated volume ... 15.81 Å³/atom



[3]
DFT (PBE-GGA) results for a relaxed structure of AlGa3Cu12.

Lattice parameters (Å, degrees): 3.682 3.682 14.864 90.00 90.00 90.00
Positions (direct):
Al 0.000 0.000 0.000
Ga 0.000 0.000 0.249
Ga 0.000 0.000 0.500
Ga 0.000 0.000 0.751
Cu 0.500 0.500 0.000
Cu 0.500 0.500 0.250
Cu 0.500 0.500 0.500
Cu 0.500 0.500 0.750
Cu 0.500 0.000 0.124
Cu 0.500 0.000 0.375
Cu 0.500 0.000 0.625
Cu 0.500 0.000 0.876
Cu 0.000 0.500 0.124
Cu 0.000 0.500 0.375
Cu 0.000 0.500 0.625
Cu 0.000 0.500 0.876

Total DFT energy (no corrections) ... -63.92 eV per cell
Calculated volume ... 12.59 Å³/atom



Number 1: magnetization 0.00 μB per atom, ΔE_f 59.5 kJ per mole of atoms. Number 2: magnetization 0.00 μB per atom, ΔE_f -1.7 kJ per mole of atoms. Number 3: magnetization 0.00 μB per atom, ΔE_f -11.7 kJ per mole of atoms.